Entry 1:
Computed, not measured: crystalline Li2Sm5Sb5 at its relaxed geometry at the PBE level of DFT.

abc: 4.382 7.630 12.266
angles: 111.87 90.00 106.69
Sites, in units of the cell vectors:
Li  0.065  0.131  0.790
Li  0.935  0.869  0.210
Sm  0.500  0.000  0.500
Sm  0.656  0.313  0.029
Sm  0.727  0.453  0.347
Sm  0.273  0.547  0.653
Sm  0.344  0.687  0.971
Sb  0.105  0.210  0.410
Sb  0.691  0.382  0.787
Sb  0.309  0.618  0.213
Sb  0.895  0.790  0.590
Sb  0.000  0.000  0.000

Computed properties:
- Calculated volume: 362.0 Å³/cell
- Energy relative to the elements, uncorrected: -10.33 eV per formula unit
- E_tot: -4.864 eV per atom
- Magnetic moment: 0.9 μB per cell

---

Entry 2:
Computed, not measured: crystalline LiSmSb2 at its relaxed geometry at the PBE level of DFT.

abc: 4.275 4.882 4.882
angles: 90.00 90.00 90.00
Sites, in units of the cell vectors:
Sb  0.000  0.000  0.500
Sb  0.000  0.500  0.000
Sm  0.500  0.500  0.500
Li  0.500  0.000  0.000

Computed properties:
- Calculated volume: 101.9 Å³/cell
- Polymorph energy (0 for the lowest one): 60 kJ/mol of formula units
- Energy relative to the elements, uncorrected: -2.71 eV per formula unit
- E_tot: -4.397 eV per atom
- Magnetic moment: 0.0 μB per cell

---

Entry 3:
Computed, not measured: crystalline LiSmSb2 at its relaxed geometry at the PBE level of DFT.

abc: 3.951 3.951 6.534
angles: 90.00 90.00 90.00
Sites, in units of the cell vectors:
Sb  0.000  0.000  0.768
Sb  0.000  0.000  0.232
Sm  0.500  0.500  0.500
Li  0.500  0.500  0.000

Computed properties:
- Calculated volume: 102.0 Å³/cell
- Polymorph energy (0 for the lowest one): 83 kJ/mol of formula units
- Energy relative to the elements, uncorrected: -2.47 eV per formula unit
- E_tot: -4.338 eV per atom
- Magnetic moment: 0.0 μB per cell

---

Entry 4:
Computed, not measured: crystalline LiSm3Sb2 at its relaxed geometry at the PBE level of DFT.

abc: 6.336 6.251 9.645
angles: 108.91 109.17 90.00
Sites, in units of the cell vectors:
Li  0.000  0.250  0.000
Li  0.000  0.750  0.000
Sm  0.431  0.679  0.358
Sm  0.569  0.321  0.642
Sm  0.073  0.821  0.642
Sm  0.927  0.179  0.358
Sm  0.500  0.750  0.000
Sm  0.500  0.250  0.000
Sb  0.379  0.135  0.270
Sb  0.621  0.865  0.730
Sb  0.110  0.365  0.730
Sb  0.890  0.635  0.270

Computed properties:
- Calculated volume: 338.9 Å³/cell
- Energy relative to the elements, uncorrected: -4.57 eV per formula unit
- E_tot: -4.814 eV per atom
- Magnetic moment: 1.3 μB per cell